The following is a DFT calculation (PBE-GGA) of a geometry-optimized Tl2CoMo structure.

Structure (extended XYZ):
```
4
Lattice="3.182 0.000 0.000 0.000 3.182 0.000 0.000 0.000 7.058" Properties=species:S:1:pos:R:3 pbc="T T T"
Tl 0.000 0.000 1.618
Tl 0.000 0.000 5.441
Co 1.591 1.591 0.000
Mo 1.591 1.591 3.529
```

## Properties
E_form   804 meV per atom
Energy above the most stable polymorph in this dataset   359.8 meV/atom
Total moment   1.330 μB/cell
Electronic total energy   -19.45 eV/cell

The following is a DFT calculation (PBE-GGA) of a geometry-optimized NpCuP2O8 structure.

Structure (extended XYZ):
```
12
Lattice="-3.407 3.407 3.038 3.407 -3.407 3.038 3.407 3.407 -3.038" Properties=species:S:1:pos:R:3 pbc="T T T"
Np 0.000 0.000 0.000
Cu 3.407 0.000 1.519
P 0.000 0.000 3.038
P 0.000 3.407 1.519
O 2.200 3.407 -0.990
O 1.208 0.000 2.048
O 0.000 2.172 0.582
O 3.407 2.200 0.990
O 0.000 4.643 0.582
O 0.000 1.208 4.029
O -1.235 3.407 2.456
O 1.235 3.407 2.456
```

## Properties
Total moment   1.996 μB/cell
Energy relative to the elements, uncorrected   -2.09 eV per atom
Electronic total energy   -92.63 eV/cell

The following is a DFT calculation (PBE-GGA) of a geometry-optimized AcNpSeS2 structure.

Structure (extended XYZ):
```
5
Lattice="-2.248 2.248 6.940 2.248 -2.248 6.940 2.248 2.248 -6.940" Properties=species:S:1:pos:R:3 pbc="T T T"
Ac 0.000 0.000 0.000
Np 0.000 0.000 3.694
Se 0.000 0.000 8.601
S 2.248 0.000 5.098
S 0.000 2.248 5.098
```

## Properties
Total moment   4.000 μB/cell
Energy relative to the elements, uncorrected   -1.33 eV per atom
Electronic total energy   -35.44 eV/cell

Q: electronic total energy of number 1 (Tl2CoMo)?
A: -19.45 eV/cell

Q: Among the records above, which one has the lowest electronic total energy?
A: NpCuP2O8

Q: Number 2 is which compound?
A: NpCuP2O8